Record 1
First-principles (GGA-PBE) data for a geometry-optimized Y5Er2Ge4 structure, as listed in Alexandria.

The structure belongs to space group C2/m (No. 12); the cell edges are 21.2628, 3.7561 and 7.9501 Å and the angles 90.00°, 96.93° and 90.00°. The distinct sites, in fractional coordinates, are Y at (0.0000, 0.0000, 0.0000), Y at (0.1028, 0.5000, 0.4240), Y at (0.1592, 0.5000, 0.9722), Er at (0.2339, 0.0000, 0.6679), Ge at (0.0256, 0.5000, 0.7312) and Ge at (0.1036, 0.0000, 0.7107).

The formation energy comes out at -0.29 eV per atom. For the total moment, the calculation gives 0.00 μB per cell.



Record 2
First-principles (GGA-PBE) data for a geometry-optimized VSi3B structure, as listed in Alexandria.

The structure belongs to space group Pm-3m (No. 221); the cell edges are 4.5514, 4.5514 and 4.5514 Å and the angles 90.00°, 90.00° and 90.00°. The distinct sites, in fractional coordinates, are V at (0.0000, 0.0000, 0.0000), Si at (0.0000, 0.0000, 0.5000) and B at (0.5000, 0.5000, 0.5000).

As for the formation energy without anion corrections: 1267 meV/atom. The value obtained for the offset from the most stable computed form is 496 meV per atom. For the total moment, the calculation gives 0.00 μB per cell.



Record 3
First-principles (GGA-PBE) data for a geometry-optimized ErAgTe2 structure, as listed in Alexandria.

The structure belongs to space group R3m (No. 160, hexagonal axes); the cell edges are 4.2432, 4.2432 and 22.1438 Å and the angles 90.00°, 90.00° and 120.00°. The distinct sites, in fractional coordinates, are Er at (0.0000, 0.0000, 0.0000), Ag at (0.0000, 0.0000, 0.1641), Te at (0.0000, 0.0000, 0.5801) and Te at (0.0000, 0.0000, 0.7513).

As for the formation energy without anion corrections: -761 meV/atom. For the total moment, the calculation gives 0.00 μB per cell.



Record 4
First-principles (GGA-PBE) data for a geometry-optimized LaNiAs2Pd structure, as listed in Alexandria.

The structure belongs to space group I-4m2 (No. 119); the cell edges are 4.2745, 4.2745 and 10.2930 Å and the angles 90.00°, 90.00° and 90.00°. The distinct sites, in fractional coordinates, are La at (0.0000, 0.0000, 0.0000), Ni at (0.0000, 0.5000, 0.7500), As at (0.0000, 0.0000, 0.3731) and Pd at (0.0000, 0.5000, 0.2500).

The formation energy comes out at -0.84 eV per atom. For the total moment, the calculation gives 0.00 μB per cell.